Below is crystalline RbPm2O at its relaxed geometry, with properties calculated at the GGA-PBE level.

ρ	5.16	Mg/m³
V	31.515	Å³/atom
calculated total energy	-4.87	eV per atom
formation energy (no corrections)	-1.016	eV per atom
magnetic moment	0.247	μB per atom

Cell and atoms, written as extended XYZ:
```
4
Lattice="3.730 0.000 0.000 1.865 3.230 0.000 1.865 1.077 10.462" Properties=species:S:1:pos:R:3 pbc="T T T"
Rb 0.000 0.000 0.000
O 3.730 2.154 5.231
Pm 1.865 1.077 6.540
Pm 5.595 3.230 3.922
```



Below is crystalline RbPmO2 at its relaxed geometry, with properties calculated at the GGA-PBE level.

relative energy among the computed polymorphs	0.033	eV per atom
ρ	5.73	Mg/m³
V	19.032	Å³/atom
calculated total energy	-6.46	eV per atom
formation energy (no corrections)	-2.556	eV per atom
magnetic moment	0.000	μB per atom

Cell and atoms, written as extended XYZ:
```
4
Lattice="3.619 0.000 0.000 1.810 3.135 0.000 1.810 1.045 6.710" Properties=species:S:1:pos:R:3 pbc="T T T"
Pm 5.429 3.135 6.706
O 1.810 1.045 1.167
O 1.810 1.045 5.480
Rb 3.619 2.090 3.422
```



Below is crystalline RbPmO at its relaxed geometry, with properties calculated at the GGA-PBE level.

ρ	4.84	Mg/m³
V	28.165	Å³/atom
calculated total energy	-4.47	eV per atom
formation energy (no corrections)	-0.912	eV per atom
magnetic moment	0.059	μB per atom

Cell and atoms, written as extended XYZ:
```
6
Lattice="3.570 0.000 0.000 -1.785 3.085 0.000 0.000 0.000 15.346" Properties=species:S:1:pos:R:3 pbc="T T T"
Rb 0.000 1.371 1.676
Pm 1.785 1.027 9.284
Rb 0.000 1.371 13.669
O 0.000 2.055 7.673
O 1.785 0.346 0.000
Pm 1.785 1.027 6.062
```



Below is crystalline RbPmO2 at its relaxed geometry, with properties calculated at the GGA-PBE level.

relative energy among the computed polymorphs	0.000	eV per atom
ρ	5.76	Mg/m³
V	18.907	Å³/atom
calculated total energy	-6.50	eV per atom
formation energy (no corrections)	-2.589	eV per atom
magnetic moment	0.000	μB per atom

Cell and atoms, written as extended XYZ:
```
4
Lattice="3.637 0.000 0.000 1.818 3.149 0.000 1.818 1.050 6.603" Properties=species:S:1:pos:R:3 pbc="T T T"
O 1.818 1.050 1.186
Rb 3.637 2.100 3.302
O 5.455 3.149 5.417
Pm 0.000 0.000 0.000
```



Below is crystalline Rb2PmO3 at its relaxed geometry, with properties calculated at the GGA-PBE level.

ρ	4.99	Mg/m³
V	20.204	Å³/atom
calculated total energy	-5.45	eV per atom
formation energy (no corrections)	-1.857	eV per atom
magnetic moment	0.172	μB per atom

Cell and atoms, written as extended XYZ:
```
6
Lattice="-0.974 -3.122 1.561 4.636 -0.236 2.421 -4.253 4.910 2.961" Properties=species:S:1:pos:R:3 pbc="T T T"
O -1.852 2.470 3.787
Pm 2.318 -0.118 1.211
Rb -1.356 -0.402 2.558
O 1.261 -0.919 3.156
Rb 0.765 1.953 4.385
O 0.000 0.000 0.000
```



Below is crystalline Rb2PmReO6 at its relaxed geometry, with properties calculated at the GGA-PBE level.

ρ	6.35	Mg/m³
V	15.651	Å³/atom
calculated total energy	-7.05	eV per atom
formation energy (no corrections)	-2.161	eV per atom
magnetic moment	0.000	μB per atom

Cell and atoms, written as extended XYZ:
```
10
Lattice="6.049 0.000 0.000 0.000 6.049 0.000 -3.025 -3.024 4.277" Properties=species:S:1:pos:R:3 pbc="T T T"
Rb 0.000 3.027 2.138
O 3.024 3.028 2.367
O 1.673 -1.671 4.277
Rb 3.024 0.003 2.138
Pm 0.000 0.003 4.277
O 0.000 0.003 1.909
Re 3.024 -3.021 4.277
O 1.673 1.677 4.277
O -1.674 -1.671 4.277
O -1.674 1.677 4.277
```



Below is crystalline RbPmRe2O8 at its relaxed geometry, with properties calculated at the GGA-PBE level.

ρ	4.65	Mg/m³
V	21.748	Å³/atom
calculated total energy	-7.84	eV per atom
formation energy (no corrections)	-1.986	eV per atom
magnetic moment	0.166	μB per atom

Cell and atoms, written as extended XYZ:
```
12
Lattice="-4.678 0.567 -3.905 5.685 -0.784 -2.128 -1.058 -7.974 0.110" Properties=species:S:1:pos:R:3 pbc="T T T"
O -0.493 -2.600 -4.587
Re -1.481 -1.820 -3.286
O 0.442 -5.591 -1.335
O 3.173 -5.968 -2.364
O 1.197 -8.120 -2.613
O 0.920 -5.695 -4.237
Re 1.429 -6.371 -2.637
Rb 0.000 0.000 0.000
O -1.249 -0.071 -3.310
O -0.972 -2.496 -1.686
O -3.225 -2.223 -3.559
Pm -0.529 -3.987 0.055
```



Below is crystalline RbPm2ReO8 at its relaxed geometry, with properties calculated at the GGA-PBE level.

ρ	5.67	Mg/m³
V	16.841	Å³/atom
calculated total energy	-7.45	eV per atom
formation energy (no corrections)	-2.231	eV per atom
magnetic moment	0.000	μB per atom

Cell and atoms, written as extended XYZ:
```
12
Lattice="-0.312 2.150 -5.044 -5.028 0.304 1.942 -0.562 6.376 3.706" Properties=species:S:1:pos:R:3 pbc="T T T"
Pm -3.519 2.326 -0.278
Re 0.000 0.000 0.000
O -3.676 4.600 0.397
Rb -0.281 3.188 1.853
O -0.666 2.337 -3.179
O -3.961 1.850 1.941
O -4.344 7.809 1.110
Pm -2.383 6.505 0.881
O -2.226 4.231 0.206
O -1.941 6.981 -1.337
O -5.237 6.494 3.782
O -1.558 1.021 -0.507
```



Below is crystalline RbPm4Rh3O12 at its relaxed geometry, with properties calculated at the GGA-PBE level.

ρ	6.35	Mg/m³
V	15.258	Å³/atom
calculated total energy	-7.01	eV per atom
formation energy (no corrections)	-1.936	eV per atom
magnetic moment	0.405	μB per atom

Cell and atoms, written as extended XYZ:
```
20
Lattice="7.346 0.000 0.000 -2.449 6.926 0.000 -2.449 -3.463 5.998" Properties=species:S:1:pos:R:3 pbc="T T T"
O -1.601 -0.630 5.054
Pm -1.224 3.463 0.000
O 1.601 4.062 3.073
O 0.060 1.720 5.054
O -2.509 3.409 4.016
O 2.509 -1.774 4.960
O -0.060 5.237 1.038
Pm 1.224 1.731 2.999
O 4.957 0.054 1.982
O 4.050 4.093 0.944
Rh -2.449 1.731 2.999
Rb 0.000 0.000 0.000
Rh 2.449 -1.731 2.999
Pm 3.673 0.000 0.000
O 2.389 1.743 0.944
O 3.296 1.229 4.016
Pm -1.224 -1.731 2.999
O -0.847 2.234 1.982
O 0.847 -0.599 2.925
Rh 2.449 3.463 0.000
```



Below is crystalline RbPm2RhO5 at its relaxed geometry, with properties calculated at the GGA-PBE level.

ρ	6.71	Mg/m³
V	15.346	Å³/atom
calculated total energy	-6.92	eV per atom
formation energy (no corrections)	-2.183	eV per atom
magnetic moment	0.000	μB per atom

Cell and atoms, written as extended XYZ:
```
18
Lattice="6.783 0.000 0.000 0.000 6.783 0.000 -3.392 -3.392 6.003" Properties=species:S:1:pos:R:3 pbc="T T T"
O -2.533 0.859 4.559
O 5.924 2.533 1.444
O 2.533 0.859 1.444
O 2.533 -0.859 4.559
Rb 0.000 0.000 3.002
Rh 0.000 3.392 3.002
O 4.251 5.924 1.444
Pm 2.190 5.581 0.000
O 0.859 2.533 4.559
Pm 5.581 4.594 0.000
O -0.859 -2.533 4.559
Rb 3.392 3.392 3.002
O 0.000 0.000 0.000
O 3.392 3.392 0.000
Pm 1.202 2.190 0.000
Pm 4.594 1.202 0.000
Rh 3.392 0.000 3.002
O 0.859 4.251 1.444
```



Below is crystalline Rb2PmRhO4 at its relaxed geometry, with properties calculated at the GGA-PBE level.

ρ	6.16	Mg/m³
V	16.265	Å³/atom
calculated total energy	-5.91	eV per atom
formation energy (no corrections)	-1.674	eV per atom
magnetic moment	0.000	μB per atom

Cell and atoms, written as extended XYZ:
```
8
Lattice="3.484 0.000 0.000 0.000 5.756 0.013 0.000 -2.094 6.484" Properties=species:S:1:pos:R:3 pbc="T T T"
Rb 1.742 -1.047 3.242
Rh 0.000 0.000 0.000
O 0.000 3.905 1.208
Pm 1.742 2.878 0.007
O 1.742 0.769 1.106
O 0.000 -0.243 5.289
O 1.742 2.893 5.391
Rb 0.000 1.831 3.248
```



Below is crystalline Rb4Pm3RhO8 at its relaxed geometry, with properties calculated at the GGA-PBE level.

ρ	5.93	Mg/m³
V	17.644	Å³/atom
calculated total energy	-6.17	eV per atom
formation energy (no corrections)	-2.095	eV per atom
magnetic moment	0.000	μB per atom

Cell and atoms, written as extended XYZ:
```
16
Lattice="7.057 0.000 0.000 0.000 7.697 0.439 -3.528 -3.520 4.996" Properties=species:S:1:pos:R:3 pbc="T T T"
O 3.528 0.487 2.963
Pm -1.764 2.089 2.718
Pm 3.528 3.849 0.220
Rb -1.764 -1.760 2.498
O 1.675 2.336 0.337
O -1.854 1.841 5.099
Rh 0.000 3.849 0.220
O 1.854 1.841 5.099
O 0.000 3.691 2.473
O 5.382 2.336 0.337
Pm 1.764 2.089 2.718
O 0.000 0.530 2.866
Rb 0.000 0.000 0.000
Rb 1.764 -1.760 2.498
Rb 3.528 0.000 0.000
O 3.528 3.647 2.570
```